Material: BeNbAg
Method: DFT, PBE
State: optimized geometry

* excess energy over the best structure of this formula in the dataset: 0.243 eV/atom
* symmetry: Ima2, No. 46
* uncorrected energy: -0.196 Ha/atom
* energy relative to the elements: 0.23 eV per atom
* spin magnetization: 0.000 μB per cell

a b c (Å): 4.9502 4.9502 4.9502
angles (deg): 123.58 106.15 99.72
With the nearest neighbours (Å) after each atom.
Atoms (fractional coordinates):
Be 0.0000 0.0000 0.0000  2 Be 2.34, 2 Nb 2.55, 4 Ag 2.61-2.62
Be 0.0000 0.5000 0.5000  2 Be 2.34, 2 Nb 2.55, 4 Ag 2.61-2.62
Nb 0.1723 0.0748 0.5974  4 Be 2.55-2.62, 3 Ag 2.79-2.83
Nb 0.4774 0.5748 0.4026  4 Be 2.55-2.62, 3 Ag 2.79-2.83
Ag 0.5118 0.9098 0.1020  4 Be 2.61-2.62, 3 Nb 2.79-2.83
Ag 0.8079 0.4098 0.8980  4 Be 2.61-2.62, 3 Nb 2.79-2.83